# 1
# GeH3Cl | Alexandria | PBE-GGA | optimized geometry
# crystal system	cubic
# E above lowest polymorph	6.74	eV per formula unit
data_GeH3Cl
_chemical_formula_sum 'Ge1 H3 Cl1'
_space_group_name_H-M_alt 'P m -3 m'
_space_group_IT_number 221
_space_group_name_Hall '-P 4 2 3'
_cell_length_a 3.743
_cell_length_b 3.743
_cell_length_c 3.743
_cell_angle_alpha 90.00
_cell_angle_beta 90.00
_cell_angle_gamma 90.00
loop_
_atom_site_label
_atom_site_type_symbol
_atom_site_fract_x
_atom_site_fract_y
_atom_site_fract_z
Ge1 Ge 0.000 0.000 0.000
H1 H 0.000 0.500 0.500
Cl1 Cl 0.500 0.500 0.500



# 2
# La4Nd2YSc | Alexandria | PBE-GGA | optimized geometry
# crystal system	orthorhombic
# DFT formation energy	0.027	eV per atom
data_La4Nd2YSc
_chemical_formula_sum 'La4 Nd2 Y1 Sc1'
_space_group_name_H-M_alt 'P m m m'
_space_group_IT_number 47
_space_group_name_Hall '-P 2 2'
_cell_length_a 5.174
_cell_length_b 5.209
_cell_length_c 10.148
_cell_angle_alpha 90.00
_cell_angle_beta 90.00
_cell_angle_gamma 90.00
loop_
_atom_site_label
_atom_site_type_symbol
_atom_site_fract_x
_atom_site_fract_y
_atom_site_fract_z
La1 La 0.000 0.000 0.245
La2 La 0.500 0.500 0.245
Nd1 Nd 0.000 0.500 0.000
Nd2 Nd 0.500 0.000 0.500
Y1 Y 0.000 0.500 0.500
Sc1 Sc 0.500 0.000 0.000



# 3
# Nb2Al2VNi5 | Alexandria | PBE-GGA | optimized geometry
# crystal system	tetragonal
# DFT formation energy	-0.210	eV per atom
data_Nb2Al2VNi5
_chemical_formula_sum 'Nb4 Al4 V2 Ni10'
_space_group_name_H-M_alt 'P 4/m b m'
_space_group_IT_number 127
_space_group_name_Hall '-P 4 2ab'
_cell_length_a 9.587
_cell_length_b 9.587
_cell_length_c 2.929
_cell_angle_alpha 90.00
_cell_angle_beta 90.00
_cell_angle_gamma 90.00
loop_
_atom_site_label
_atom_site_type_symbol
_atom_site_fract_x
_atom_site_fract_y
_atom_site_fract_z
Nb1 Nb 0.175 0.325 0.000
Al1 Al 0.130 0.630 0.000
V1 V 0.000 0.000 0.000
Ni1 Ni 0.000 0.500 0.500
Ni2 Ni 0.044 0.810 0.500



# 4
# Tb2Al3Au9 | Alexandria | PBE-GGA | optimized geometry
# crystal system	monoclinic
# DFT formation energy	-0.614	eV per atom
data_Tb2Al3Au9
_chemical_formula_sum 'Tb8 Al12 Au36'
_space_group_name_H-M_alt 'C 1 2/c 1'
_space_group_IT_number 15
_space_group_name_Hall '-C 2yc'
_cell_length_a 13.758
_cell_length_b 7.910
_cell_length_c 10.861
_cell_angle_alpha 90.00
_cell_angle_beta 115.33
_cell_angle_gamma 90.00
loop_
_atom_site_label
_atom_site_type_symbol
_atom_site_fract_x
_atom_site_fract_y
_atom_site_fract_z
Tb1 Tb 0.168 0.083 0.247
Al1 Al 0.086 0.238 0.498
Al2 Al 0.250 0.250 0.000
Au1 Au 0.000 0.352 0.250
Au2 Au 0.060 0.081 0.927
Au3 Au 0.109 0.411 0.072
Au4 Au 0.113 0.305 0.745
Au5 Au 0.228 0.418 0.435



# 5
# Cs2PO3F | Alexandria | PBE-GGA | optimized geometry
# crystal system	orthorhombic
# energy relative to the elements, uncorrected	-1624	kJ/mol of formula units
data_Cs2PO3F
_chemical_formula_sum 'Cs8 P4 O12 F4'
_space_group_name_H-M_alt 'P n m a'
_space_group_IT_number 62
_space_group_name_Hall '-P 2ac 2n'
_cell_length_a 8.499
_cell_length_b 6.472
_cell_length_c 11.192
_cell_angle_alpha 90.00
_cell_angle_beta 90.00
_cell_angle_gamma 90.00
loop_
_atom_site_label
_atom_site_type_symbol
_atom_site_fract_x
_atom_site_fract_y
_atom_site_fract_z
Cs1 Cs 0.002 0.250 0.215
Cs2 Cs 0.176 0.250 0.582
P1 P 0.247 0.250 0.916
O1 O 0.198 0.750 0.546
O2 O 0.221 0.551 0.347
F1 F 0.049 0.250 0.928



# 6
# Ac3In2Ru | Alexandria | PBE-GGA | optimized geometry
# crystal system	monoclinic
# DFT formation energy	-0.215	eV per atom
# E above lowest polymorph	0.41	eV per formula unit
data_Ac3In2Ru
_chemical_formula_sum 'Ac12 In8 Ru4'
_space_group_name_H-M_alt 'C 1 2/c 1'
_space_group_IT_number 15
_space_group_name_Hall '-C 2yc'
_cell_length_a 11.251
_cell_length_b 9.285
_cell_length_c 8.256
_cell_angle_alpha 90.00
_cell_angle_beta 108.42
_cell_angle_gamma 90.00
loop_
_atom_site_label
_atom_site_type_symbol
_atom_site_fract_x
_atom_site_fract_y
_atom_site_fract_z
Ac1 Ac 0.000 0.098 0.250
Ac2 Ac 0.153 0.423 0.964
In1 In 0.204 0.223 0.645
Ru1 Ru 0.000 0.218 0.750



# 7
# LiTh2Cd4Pb2 | Alexandria | PBE-GGA | optimized geometry
# crystal system	tetragonal
# DFT formation energy	-0.175	eV per atom
data_LiTh2Cd4Pb2
_chemical_formula_sum 'Li2 Th4 Cd8 Pb4'
_space_group_name_H-M_alt 'I 4/m m m'
_space_group_IT_number 139
_space_group_name_Hall '-I 4 2'
_cell_length_a 6.705
_cell_length_b 6.705
_cell_length_c 10.127
_cell_angle_alpha 90.00
_cell_angle_beta 90.00
_cell_angle_gamma 90.00
loop_
_atom_site_label
_atom_site_type_symbol
_atom_site_fract_x
_atom_site_fract_y
_atom_site_fract_z
Li1 Li 0.000 0.000 0.000
Th1 Th 0.000 0.500 0.250
Cd1 Cd 0.227 0.227 0.500
Pb1 Pb 0.000 0.000 0.265



# 8
# DySnHgPb | Alexandria | PBE-GGA | optimized geometry
# crystal system	orthorhombic
# DFT formation energy	-0.368	eV per atom
# E above lowest polymorph	0.00	eV per formula unit
data_DySnHgPb
_chemical_formula_sum 'Dy1 Sn1 Hg1 Pb1'
_space_group_name_H-M_alt 'P m m m'
_space_group_IT_number 47
_space_group_name_Hall '-P 2 2'
_cell_length_a 4.558
_cell_length_b 4.778
_cell_length_c 4.778
_cell_angle_alpha 90.00
_cell_angle_beta 90.00
_cell_angle_gamma 90.00
loop_
_atom_site_label
_atom_site_type_symbol
_atom_site_fract_x
_atom_site_fract_y
_atom_site_fract_z
Dy1 Dy 0.000 0.000 0.000
Sn1 Sn 0.500 0.000 0.500
Hg1 Hg 0.000 0.500 0.500
Pb1 Pb 0.500 0.500 0.000



no.,E_tot (eV/atom)
1,-2.1532
2,-5.2277
3,-6.7754
4,-4.1843
5,-5.8142
6,-4.7278
7,-3.2675
8,-3.5215